Density functional theory data (GGA-PBE) for a relaxed LuCoReSb crystal.

Structure (CIF):
```
data_LuCoReSb
_space_group_name_H-M_alt 'P 1'
_space_group_IT_number 1
_space_group_name_Hall 'P 1'
_cell_length_a 4.5673
_cell_length_b 4.5673
_cell_length_c 4.5673
_cell_angle_alpha 60.00
_cell_angle_beta 60.00
_cell_angle_gamma 60.00
loop_
_atom_site_label
_atom_site_fract_x
_atom_site_fract_y
_atom_site_fract_z
_atom_site_occupancy
Lu1 0.0000 0.0000 0.0000 1
Co1 0.7500 0.7500 0.7500 1
Re1 0.2500 0.2500 0.2500 1
Sb1 0.5000 0.5000 0.5000 1
```

Calculated values
Calculated volume: 16.84 Å³ per atom
E: -27.90 eV per cell
E above lowest polymorph: 0 meV/atom